# ErTmSn2Ir4

A relaxed ErTmSn2Ir4 crystal (GGA-PBE, OQMD via LeMat-Bulk).

Cell lengths 4.489, 4.489, 8.964 Å; angles 90.00, 90.00, 120.00 degrees
Element x y z (fractional)
1 Er 0.000 0.000 0.000
2 Tm 0.333 0.667 0.500
3 Sn 0.667 0.333 0.250
4 Sn 0.667 0.333 0.750
5 Ir 0.000 0.000 0.350
6 Ir 0.000 0.000 0.650
7 Ir 0.333 0.667 0.151
8 Ir 0.333 0.667 0.849

Crystal system: hexagonal
Final energy in eV/atom: -7.143
Space group: No. 187